CaCuHg2B | PBE-GGA | relaxed

## Properties
Space-group type   P4/mmm
Total magnetization   0.00 μB/f.u.
Energy relative to the elements   385.8 meV per atom

```
data_CaCuHg2B
_cell_length_a 4.470
_cell_length_b 4.470
_cell_length_c 5.462
_cell_angle_alpha 90.00
_cell_angle_beta 90.00
_cell_angle_gamma 90.00
_symmetry_space_group_name_H-M 'P 1'
_symmetry_Int_Tables_number 1
_symmetry_space_group_name_Hall 'P 1'
loop_
_atom_site_label
_atom_site_fract_x
_atom_site_fract_y
_atom_site_fract_z
Ca1 0.000 0.000 0.000
Cu1 0.500 0.500 0.000
Hg1 0.000 0.500 0.500
Hg2 0.500 0.000 0.500
B1 0.000 0.000 0.500
```